LiMn3F: relaxed, PBE with a Hubbard U.

a b c (Å): 4.8366 4.8366 4.8366
angles (deg): 90.00 90.00 90.00
With the nearest neighbours (Å) after each atom.
Fractional positions:
F 0.5000 0.5000 0.5000  12 Mn 3.42
Mn 0.0000 0.5000 0.0000  2 Li 2.42
Mn 0.5000 0.0000 0.0000  2 Li 2.42
Li 0.0000 0.0000 0.0000  6 Mn 2.42
Mn 0.0000 0.0000 0.5000  2 Li 2.42

Values from the calculation:
Total moment   14.5 μB per cell
E_tot   -23.4 eV per cell